PrYCdOs | PBE | relaxed

Output
**Calculated formation energy**: -98 meV/atom
**Space-group type**: F-43m (216)

Lattice parameters (Å, degrees): 5.1267 5.1267 5.1267 60.00 60.00 60.00
Fractional coordinates of all 4 atoms:
Cd 0.0000 0.0000 0.0000
Os 0.5000 0.5000 0.5000
Y 0.7500 0.7500 0.7500
Pr 0.2500 0.2500 0.2500